# 1
A PBEsol-optimized structure of Mo2IrRh, computed with SCAN.

a = 3.8534 Å, b = 3.8534 Å, c = 7.7373 Å
α = 90.00°, β = 90.00°, γ = 90.00°
With the nearest neighbours (Å) after each atom.
Space group I4/mmm (No. 139)
Symmetry-distinct sites (fractional):
Mo 0.0000 0.5000 0.2500 (multiplicity 4)  4 Mo 2.72, 4 Ir 2.73, 4 Rh 2.73
Ir 0.0000 0.0000 0.0000 (multiplicity 2)  4 Rh 2.72, 8 Mo 2.73
Rh 0.0000 0.0000 0.5000 (multiplicity 2)  4 Ir 2.72, 8 Mo 2.73

ΔH_f (0 K): -1.23 eV/f.u.
E above lowest polymorph: 5 meV per atom

# 2
A PBEsol-optimized structure of LiTe2IN, computed with SCAN.

a = 6.0282 Å, b = 6.0282 Å, c = 3.8706 Å
α = 90.00°, β = 90.00°, γ = 90.00°
With the nearest neighbours (Å) after each atom.
Space group P4/mmm (No. 123)
Symmetry-distinct sites (fractional):
Li 0.0000 0.0000 0.0000 (multiplicity 1)  8 Te 3.58, 2 Li 3.87
Te 0.0000 0.5000 0.5000 (multiplicity 2)  2 I 3.01
I 0.5000 0.5000 0.5000 (multiplicity 1)  2 N 1.94
N 0.5000 0.5000 0.0000 (multiplicity 1)  2 I 1.94

ΔE_f (raw): 83.3 kJ/mol of atoms

Number 1: density of states at the Fermi level 4.29 states/eV/cell, total moment 0.00 μB/f.u.. Number 2: density of states at the Fermi level 1.83 states/eV/cell, total moment 0.00 μB/f.u..